# LiLaH6Ru PBE-GGA relaxed
# Total magnetization ... 0.000 μB per atom
# V ... 176.10 Å³/cell
# Calculated total energy ... -4.50 eV per atom
data_LiLaH6Ru
_symmetry_space_group_name_H-M 'C 1 m 1'
_symmetry_Int_Tables_number 8
_cell_length_a 8.292
_cell_length_b 4.788
_cell_length_c 4.435
_cell_angle_alpha 90.00
_cell_angle_beta 90.02
_cell_angle_gamma 90.00
loop_
_symmetry_equiv_pos_as_xyz
'x,y,z'
'x,-y,z'
'x+1/2,y+1/2,z'
'x+1/2,-y+1/2,z'
loop_
_atom_site_label
_atom_site_type_symbol
_atom_site_fract_x
_atom_site_fract_y
_atom_site_fract_z
_atom_site_occupancy
Li1 Li 0.000 0.000 0.000 1
La1 La 0.167 0.500 0.439 1
H1 H 0.006 0.500 0.901 1
H2 H 0.165 0.000 0.334 1
H3 H 0.246 0.259 0.902 1
H4 H 0.417 0.253 0.333 1
Ru1 Ru 0.333 0.000 0.112 1

***

# Li2LaHRu PBE-GGA relaxed
# DOS at the Fermi energy ... 2.61 states/eV per cell
# Total magnetization ... 0.000 μB per atom
# V ... 76.72 Å³/cell
# Calculated total energy ... -4.43 eV per atom
data_Li2LaHRu
_symmetry_space_group_name_H-M 'P 4/m m m'
_symmetry_Int_Tables_number 123
_symmetry_space_group_name_Hall '-P 4 2'
_cell_length_a 3.900
_cell_length_b 3.900
_cell_length_c 5.043
_cell_angle_alpha 90.00
_cell_angle_beta 90.00
_cell_angle_gamma 90.00
loop_
_atom_site_label
_atom_site_type_symbol
_atom_site_fract_x
_atom_site_fract_y
_atom_site_fract_z
_atom_site_occupancy
Li1 Li 0.000 0.500 0.000 1
La1 La 0.000 0.000 0.500 1
H1 H 0.000 0.000 0.000 1
Ru1 Ru 0.500 0.500 0.500 1

***

# LiLaSbH PBE-GGA relaxed
# DOS at the Fermi energy ... 0.03 states/eV per cell
# Total magnetization ... 0.000 μB per atom
# V ... 160.11 Å³/cell
# Calculated total energy ... -4.48 eV per atom
data_LiLaSbH
_symmetry_space_group_name_H-M 'P 4/n m m'
_symmetry_Int_Tables_number 129
_cell_length_a 4.392
_cell_length_b 4.392
_cell_length_c 8.300
_cell_angle_alpha 90.00
_cell_angle_beta 90.00
_cell_angle_gamma 90.00
loop_
_symmetry_equiv_pos_as_xyz
'x,y,z'
'-x,-y,-z'
'-y+1/2,x,z'
'y+1/2,-x,-z'
'-x+1/2,-y+1/2,z'
'x+1/2,y+1/2,-z'
'y,-x+1/2,z'
'-y,x+1/2,-z'
'x+1/2,-y,-z'
'-x+1/2,y,z'
'-y,-x,-z'
'y,x,z'
'-x,y+1/2,-z'
'x,-y+1/2,z'
'y+1/2,x+1/2,-z'
'-y+1/2,-x+1/2,z'
loop_
_atom_site_label
_atom_site_type_symbol
_atom_site_fract_x
_atom_site_fract_y
_atom_site_fract_z
_atom_site_occupancy
Li1 Li 0.250 0.750 0.000 1
La1 La 0.250 0.250 0.363 1
Sb1 Sb 0.250 0.250 0.789 1
H1 H 0.250 0.750 0.500 1